1.
Compound: LiNd3Te3
Source: Alexandria via LeMat-Bulk
Functional: PBE
Structure: optimized geometry

The structure in extended XYZ format:
```
28
Lattice="-2.263 -2.035 3.307 10.879 -2.890 5.667 -0.501 12.386 7.279" Properties=species:S:1:pos:R:3 pbc="T T T"
Te 2.302 -1.395 5.299
Nd 0.330 6.863 9.031
Nd 2.724 8.201 11.492
Nd 5.749 5.947 12.175
Nd 5.391 -0.739 4.762
Te 6.273 -2.202 7.519
Nd 5.007 2.718 9.681
Te 7.589 0.939 10.353
Nd 8.305 9.287 12.925
Nd 7.784 0.598 7.222
Nd -0.189 4.166 3.962
Te 7.414 4.940 9.641
Te 5.812 8.856 10.955
Te 0.701 2.522 6.613
Te 5.168 2.205 6.421
Li 2.960 1.084 7.274
Nd 2.366 1.514 4.078
Nd 3.107 4.743 6.573
Li 5.155 6.377 8.979
Te 1.842 9.663 8.734
Te 0.525 6.522 5.900
Te -0.176 1.278 2.193
Te 2.947 5.257 9.833
Li 8.464 -1.947 9.176
Nd 8.303 3.295 12.292
Nd -0.190 -1.825 3.328
Li -0.349 9.408 7.077
Te 8.290 6.183 14.060
```

- Formation energy from raw total energies: -1.20 eV/atom
- Calculated total energy: -4.8628 eV/atom

---

2.
Compound: Al2CrPtPb
Source: Alexandria via LeMat-Bulk
Functional: PBE
Structure: optimized geometry

The structure in extended XYZ format:
```
5
Lattice="4.672 0.000 0.000 0.000 5.022 0.000 0.000 0.000 4.672" Properties=species:S:1:pos:R:3 pbc="T T T"
Pt 2.336 2.511 2.336
Pb 0.000 2.511 0.000
Al 0.000 0.000 2.336
Cr 0.000 0.000 0.000
Al 2.336 0.000 0.000
```

- Calculated total energy: -4.6290 eV/atom